A geometry-optimized NbAl3Zn structure. Source: Alexandria, functional PBE-GGA.

Lattice parameters (Å, degrees): 4.3595 5.9275 6.9244 90.00 108.24 90.00
With the nearest neighbours (Å) after each atom.
Space group P2_1/m (No. 11)
Symmetry-distinct sites (fractional):
Nb 0.0000 0.0000 0.0000  6 Al 2.75-2.81, 2 Zn 2.87, 2 Nb 2.96
Al 0.1805 0.2500 0.3632  6 Al 2.75-2.89, 4 Zn 2.77-2.96, 2 Nb 2.81
Al 0.3731 0.0073 0.7446  3 Zn 2.72-2.88, 2 Nb 2.75, 5 Al 2.75-3.05
Zn 0.1861 0.7500 0.3736  10 Al 2.72-2.96, 2 Nb 2.87

Values from the calculation:
Calculated formation energy in eV per atom: 0.026
Volume in Å³/atom: 17.0